# PBE TbTmAl2Ir4, optimized geometry
data_TbTmAl2Ir4
_cell_length_a 4.2810
_cell_length_b 4.2810
_cell_length_c 9.1543
_cell_angle_alpha 90.00
_cell_angle_beta 90.00
_cell_angle_gamma 120.00
_symmetry_space_group_name_H-M 'P -6 m 2'
_symmetry_Int_Tables_number 187
_symmetry_space_group_name_Hall 'P -6 2'
loop_
_atom_site_label
_atom_site_fract_x
_atom_site_fract_y
_atom_site_fract_z
Tb1 0.0000 0.0000 0.0000
Tm1 0.6667 0.3333 0.5000
Al1 0.3333 0.6667 0.2570
Ir1 0.0000 0.0000 0.3435
Ir2 0.6667 0.3333 0.1723
# DFT total energy = -57.79 eV for the cell shown